! BeCr2Ru | the Alexandria database | PBE | optimized geometry; values from VASP
! - calculated formation energy (eV per atom) = 0.07
! - energy (eV/cell) = -31.96
&SYSTEM
  ibrav = 0, nat = 4, ntyp = 3
/
ATOMIC_SPECIES
Be 9.01 Be.upf
Cr 52.00 Cr.upf
Ru 101.07 Ru.upf
CELL_PARAMETERS angstrom
2.580 0.000 0.000
0.000 3.821 0.000
-1.025 0.000 4.716
ATOMIC_POSITIONS crystal
Be 0.000 0.000 0.000
Cr 0.550 0.000 0.483
Cr 0.707 0.500 0.230
Ru 0.261 0.500 0.748